A relaxed structure of La2Zr2Rh, computed with PBE.

The space group is No. 127. Its crystal system is tetragonal. The formation energy from the elements comes out at -0.156 eV per atom. The calculation puts the magnetization at 0.000 μB/cell.

Cell: 6.952 6.952 5.535 Å, 90.00 90.00 90.00°
Element x y z (fractional)
Zr (0.154, 0.346, 0.000)
La (0.667, 0.833, 0.500)
Zr (0.654, 0.154, 0.000)
Rh (0.000, 0.000, 0.000)
La (0.833, 0.333, 0.500)
La (0.333, 0.167, 0.500)
La (0.167, 0.667, 0.500)
Rh (0.500, 0.500, 0.000)
Zr (0.846, 0.654, 0.000)
Zr (0.346, 0.846, 0.000)

---

A relaxed structure of CsSmAlS3, computed with PBE.

The space group is No. 12. For the formation energy (no corrections), the calculation gives -1.420 eV/atom. Its crystal system is monoclinic. The calculation puts the magnetization at 0.000 μB/cell.

Cell: 4.609 8.116 9.290 Å, 101.96 90.00 106.50°
Element x y z (fractional)
Cs (0.359, 0.718, 0.944)
S (0.851, 0.702, 0.240)
S (0.493, 0.986, 0.699)
Sm (0.353, 0.707, 0.440)
Al (0.001, 0.002, 0.357)
Cs (0.641, 0.282, 0.056)
S (0.149, 0.298, 0.760)
S (0.507, 0.014, 0.301)
Sm (0.647, 0.293, 0.560)
S (0.167, 0.333, 0.371)
S (0.833, 0.667, 0.629)
Al (0.999, 0.998, 0.643)

---

A relaxed structure of GaFe2H, computed with PBE.

The space group is No. 225. Its crystal system is cubic. Its relative energy among the computed polymorphs is 593 meV/atom. The calculation puts the magnetization at 3.662 μB/cell.

Cell: 3.919 3.919 3.919 Å, 60.00 60.00 60.00°
Element x y z (fractional)
Ga (0.500, 0.500, 0.500)
Fe (0.250, 0.250, 0.250)
Fe (0.750, 0.750, 0.750)
H (0.000, 0.000, 0.000)

---

A relaxed structure of MgTaSi2, computed with PBE.

The space group is No. 216. For the formation energy (no corrections), the calculation gives 0.524 eV/atom. Its crystal system is cubic. The calculation puts the magnetization at 0.000 μB/cell.

Cell: 4.512 4.512 4.512 Å, 60.00 60.00 60.00°
Element x y z (fractional)
Si (0.000, 0.000, 0.000)
Ta (0.750, 0.750, 0.750)
Mg (0.500, 0.500, 0.500)
Si (0.250, 0.250, 0.250)

---

A relaxed structure of BeNO3, computed with PBE.

The space group is No. 221. For the formation energy (no corrections), the calculation gives 0.927 eV/atom. Its crystal system is cubic. The calculation puts the magnetization at 1.000 μB/cell.

Cell: 3.494 3.494 3.494 Å, 90.00 90.00 90.00°
Element x y z (fractional)
O (0.500, 0.000, 0.500)
Be (0.500, 0.500, 0.500)
O (0.500, 0.500, 0.000)
O (0.000, 0.500, 0.500)
N (0.000, 0.000, 0.000)

---

A relaxed structure of Mg2AlSb, computed with PBE.

The space group is No. 119. For the formation energy (no corrections), the calculation gives -0.045 eV/atom. Its crystal system is tetragonal. Its relative energy among the computed polymorphs is 26 meV/atom. The calculation puts the magnetization at 0.000 μB/cell.

Cell: 5.703 5.703 5.703 Å, 136.08 136.08 63.86°
Element x y z (fractional)
Mg (0.250, 0.750, 0.500)
Al (0.750, 0.250, 0.500)
Mg (0.000, 0.000, 0.000)
Sb (0.500, 0.500, 0.000)

---

A relaxed structure of CrHIr, computed with PBE.

The space group is No. 8. Its crystal system is monoclinic. Its relative energy among the computed polymorphs is 334 meV/atom. The calculation puts the magnetization at 0.001 μB/cell.

Cell: 2.638 3.964 7.004 Å, 90.00 111.87 90.00°
Element x y z (fractional)
H (0.462, 0.500, 0.045)
Cr (0.762, 0.000, 0.343)
Ir (0.405, 0.500, 0.487)
Cr (0.762, 0.500, 0.843)
H (0.462, 0.000, 0.545)
Ir (0.405, 0.000, 0.987)

---

A relaxed structure of B4C, computed with PBE.

The space group is No. 221. Its crystal system is cubic. Its relative energy among the computed polymorphs is 2144 meV/atom. The formation energy from the elements comes out at 2.042 eV per atom. The calculation puts the magnetization at 0.000 μB/cell.

Cell: 3.278 3.278 3.278 Å, 90.00 90.00 90.00°
Element x y z (fractional)
B (0.500, 0.500, 0.000)
B (0.000, 0.500, 0.500)
C (0.500, 0.500, 0.500)
B (0.000, 0.000, 0.000)
B (0.500, 0.000, 0.500)

---

A relaxed structure of La4MnRe, computed with PBE.

The space group is No. 216. Its crystal system is cubic. The formation energy from the elements comes out at 1.105 eV per atom. The calculation puts the magnetization at 3.803 μB/cell.

Cell: 6.184 6.184 6.184 Å, 60.00 60.00 60.00°
Element x y z (fractional)
La (0.374, 0.878, 0.374)
Mn (0.750, 0.750, 0.750)
La (0.374, 0.374, 0.374)
La (0.878, 0.374, 0.374)
La (0.374, 0.374, 0.878)
Re (0.000, 0.000, 0.000)